Record 1
A plane-wave DFT calculation with PBE-GGA was carried out for an optimized crystal structure of Tl2SbIr. Values from VASP.

```
&SYSTEM
  ibrav = 0, nat = 4, ntyp = 3
/
ATOMIC_SPECIES
Tl 204.38 Tl.upf
Sb 121.76 Sb.upf
Ir 192.22 Ir.upf
CELL_PARAMETERS angstrom
3.4770 0.0000 0.0000
0.0000 4.9887 0.0000
0.0000 0.0000 5.3860
ATOMIC_POSITIONS crystal
Tl 0.0000 0.0000 0.0000
Tl 0.5000 0.5000 0.0000
Sb 0.0000 0.5000 0.5000
Ir 0.5000 0.0000 0.5000
```

Properties
VASP energy, eV/atom: -3.8649
Offset from the most stable computed form, eV per atom: 0.481
Magnetization, μB per atom: 0.000
Symmetry: Pmmm, No. 47
DOS at the Fermi energy, states/eV/f.u.: 2.44
Formation energy from raw total energies, eV per formula unit: 2.26

Record 2
A plane-wave DFT calculation with PBE-GGA was carried out for an optimized crystal structure of AuBrO2. Values from VASP.

```
&SYSTEM
  ibrav = 0, nat = 12, ntyp = 3
/
ATOMIC_SPECIES
Au 196.97 Au.upf
Br 79.90 Br.upf
O 16.00 O.upf
CELL_PARAMETERS angstrom
3.0981 0.0000 0.0000
-1.5491 2.6831 0.0000
0.0000 0.0000 21.3697
ATOMIC_POSITIONS crystal
Au 0.0000 0.0000 0.0000
Au 0.3333 0.6667 0.6667
Au 0.6667 0.3333 0.3333
Br 0.0000 0.0000 0.5000
Br 0.3333 0.6667 0.1667
Br 0.6667 0.3333 0.8333
O 0.0000 0.0000 0.0927
O 0.0000 0.0000 0.9073
O 0.3333 0.6667 0.5740
O 0.3333 0.6667 0.7594
O 0.6667 0.3333 0.2406
O 0.6667 0.3333 0.4260
```

Properties
VASP energy, eV/atom: -3.0125
Magnetization, μB per atom: 0.000
Symmetry: R-3m, No. 166
DOS at the Fermi energy, states/eV/f.u.: 2.31
Formation energy from raw total energies, eV per formula unit: 2.82

Record 3
A plane-wave DFT calculation with PBE-GGA was carried out for an optimized crystal structure of MnBSb2Te. Values from VASP.

```
&SYSTEM
  ibrav = 0, nat = 5, ntyp = 4
/
ATOMIC_SPECIES
Mn 54.94 Mn.upf
B 10.81 B.upf
Sb 121.76 Sb.upf
Te 127.60 Te.upf
CELL_PARAMETERS angstrom
4.7126 0.0000 0.0000
0.0000 4.7126 0.0000
0.0000 0.0000 4.7369
ATOMIC_POSITIONS crystal
Mn 0.0000 0.0000 0.0000
B 0.5000 0.5000 0.5000
Sb 0.0000 0.5000 0.5000
Sb 0.5000 0.0000 0.5000
Te 0.5000 0.5000 0.0000
```

Properties
VASP energy, eV/atom: -4.1909
Offset from the most stable computed form, eV per atom: 0.000
Magnetization, μB per atom: 0.000
Symmetry: P4/mmm, No. 123
DOS at the Fermi energy, states/eV/f.u.: 4.27
Formation energy from raw total energies, eV per formula unit: 6.28

Record 4
A plane-wave DFT calculation with PBE-GGA was carried out for an optimized crystal structure of AgAu2I4. Values from VASP.

```
&SYSTEM
  ibrav = 0, nat = 7, ntyp = 3
/
ATOMIC_SPECIES
Ag 107.87 Ag.upf
Au 196.97 Au.upf
I 126.90 I.upf
CELL_PARAMETERS angstrom
6.3453 0.0000 0.0000
0.0000 6.3453 0.0000
0.0000 0.0000 6.4187
ATOMIC_POSITIONS crystal
Ag 0.0000 0.0000 0.0000
Au 0.0000 0.5000 0.5000
Au 0.5000 0.0000 0.5000
I 0.2624 0.2624 0.2438
I 0.2624 0.7376 0.7562
I 0.7376 0.2624 0.7562
I 0.7376 0.7376 0.2438
```

Properties
VASP energy, eV/atom: -2.2796
Magnetization, μB per atom: 0.000
Symmetry: P-42m, No. 111
DOS at the Fermi energy, states/eV/f.u.: 6.88
Formation energy from raw total energies, eV per formula unit: -0.35

Record 5
A plane-wave DFT calculation with PBE-GGA was carried out for an optimized crystal structure of MnPPd3. Values from VASP.

```
&SYSTEM
  ibrav = 0, nat = 5, ntyp = 3
/
ATOMIC_SPECIES
Mn 54.94 Mn.upf
P 30.97 P.upf
Pd 106.42 Pd.upf
CELL_PARAMETERS angstrom
4.6225 0.0000 0.0000
0.0000 4.6225 0.0000
0.0000 0.0000 4.6225
ATOMIC_POSITIONS crystal
Mn 0.0000 0.0000 0.0000
P 0.5000 0.5000 0.5000
Pd 0.0000 0.0000 0.5000
Pd 0.0000 0.5000 0.0000
Pd 0.5000 0.0000 0.0000
```

Properties
VASP energy, eV/atom: -5.0673
Offset from the most stable computed form, eV per atom: 1.028
Magnetization, μB per atom: 0.905
Symmetry: Pm-3m, No. 221
DOS at the Fermi energy, states/eV/f.u.: 3.28

Record 6
A plane-wave DFT calculation with PBE-GGA was carried out for an optimized crystal structure of Nd4BBr5. Values from VASP.

```
&SYSTEM
  ibrav = 0, nat = 10, ntyp = 3
/
ATOMIC_SPECIES
Nd 144.24 Nd.upf
B 10.81 B.upf
Br 79.90 Br.upf
CELL_PARAMETERS angstrom
9.2863 -2.0364 0.0000
9.2863 2.0364 0.0000
-1.9717 0.0000 8.2567
ATOMIC_POSITIONS crystal
Nd 0.0008 0.0008 0.2866
Nd 0.3553 0.3553 0.4214
Nd 0.6447 0.6447 0.5786
Nd 0.9992 0.9992 0.7134
B 0.5000 0.5000 0.5000
Br 0.1654 0.1654 0.8400
Br 0.1708 0.1708 0.3346
Br 0.5000 0.5000 0.0000
Br 0.8292 0.8292 0.6654
Br 0.8346 0.8346 0.1600
```

Properties
VASP energy, eV/atom: -4.8195
Magnetization, μB per atom: 0.000
Symmetry: C2/m, No. 12
DOS at the Fermi energy, states/eV/f.u.: 4.78
Formation energy from raw total energies, eV per formula unit: -14.08

Record 7
A plane-wave DFT calculation with PBE-GGA was carried out for an optimized crystal structure of Li2AgPb. Values from VASP.

```
&SYSTEM
  ibrav = 0, nat = 16, ntyp = 3
/
ATOMIC_SPECIES
Li 6.94 Li.upf
Ag 107.87 Ag.upf
Pb 207.20 Pb.upf
CELL_PARAMETERS angstrom
6.7517 0.0000 0.0000
0.0000 6.7517 0.0000
0.0000 0.0000 6.7517
ATOMIC_POSITIONS crystal
Li 0.0000 0.0000 0.0000
Li 0.0000 0.5000 0.5000
Li 0.2500 0.2500 0.2500
Li 0.2500 0.7500 0.7500
Li 0.5000 0.0000 0.5000
Li 0.5000 0.5000 0.0000
Li 0.7500 0.2500 0.7500
Li 0.7500 0.7500 0.2500
Ag 0.2500 0.2500 0.7500
Ag 0.2500 0.7500 0.2500
Ag 0.7500 0.2500 0.2500
Ag 0.7500 0.7500 0.7500
Pb 0.0000 0.0000 0.5000
Pb 0.0000 0.5000 0.0000
Pb 0.5000 0.0000 0.0000
Pb 0.5000 0.5000 0.5000
```

Properties
VASP energy, eV/atom: -2.8590
Magnetization, μB per atom: 0.000
Symmetry: F-43m, No. 216
DOS at the Fermi energy, states/eV/f.u.: 1.38

Record 8
A plane-wave DFT calculation with PBE-GGA was carried out for an optimized crystal structure of CrTcSn2. Values from VASP.

```
&SYSTEM
  ibrav = 0, nat = 16, ntyp = 3
/
ATOMIC_SPECIES
Cr 52.00 Cr.upf
Tc 98.00 Tc.upf
Sn 118.71 Sn.upf
CELL_PARAMETERS angstrom
7.3601 0.0000 0.0000
0.0000 7.3601 0.0000
0.0000 0.0000 5.7609
ATOMIC_POSITIONS crystal
Cr 0.0000 0.0000 0.0000
Cr 0.0000 0.5000 0.2500
Cr 0.5000 0.0000 0.7500
Cr 0.5000 0.5000 0.5000
Tc 0.0000 0.0000 0.5000
Tc 0.0000 0.5000 0.7500
Tc 0.5000 0.0000 0.2500
Tc 0.5000 0.5000 0.0000
Sn 0.2438 0.2500 0.1250
Sn 0.2500 0.7438 0.3750
Sn 0.2500 0.7562 0.8750
Sn 0.2562 0.2500 0.6250
Sn 0.7438 0.7500 0.6250
Sn 0.7500 0.2438 0.8750
Sn 0.7500 0.2562 0.3750
Sn 0.7562 0.7500 0.1250
```

Properties
VASP energy, eV/atom: -6.0793
Offset from the most stable computed form, eV per atom: 0.706
Magnetization, μB per atom: 0.235
Symmetry: I-42d, No. 122
DOS at the Fermi energy, states/eV/f.u.: 7.26